--- 1 ---
A relaxed structure of MnH2Ir. Source: the Alexandria database, functional GGA-PBE.

```
MnH2Ir
1.0
1.4077 0.8127 4.8903
-1.4077 0.8127 4.8903
0.0000 -1.6255 4.8903
Mn H Ir
1 2 1
direct
0.0000 0.0000 0.0000 Mn
0.3811 0.3811 0.3811 H
0.6189 0.6189 0.6189 H
0.5000 0.5000 0.5000 Ir
```

--- 2 ---
A relaxed structure of MnH2Ir. Source: the Alexandria database, functional GGA-PBE.

```
MnH2Ir
1.0
-1.9966 1.9966 4.0231
1.9966 -1.9966 4.0231
1.9966 1.9966 -4.0231
Mn H Ir
2 4 2
direct
0.0000 0.0000 0.0000 Mn
0.7500 0.2500 0.5000 Mn
0.0987 0.6250 0.9737 H
0.3750 0.3487 0.4737 H
0.6513 0.1250 0.0263 H
0.8750 0.9013 0.5263 H
0.2500 0.7500 0.5000 Ir
0.5000 0.5000 0.0000 Ir
```

--- 3 ---
A relaxed structure of MnH2Ir. Source: the Alexandria database, functional GGA-PBE.

```
MnH2Ir
1.0
0.0000 2.6004 2.6004
2.6004 0.0000 2.6004
2.6004 2.6004 0.0000
Mn H Ir
1 2 1
direct
0.0000 0.0000 0.0000 Mn
0.2500 0.2500 0.2500 H
0.7500 0.7500 0.7500 H
0.5000 0.5000 0.5000 Ir
```

The energy of each structure relative to the most stable one, in meV/atom, is as follows: 1 0; 2 188; 3 444.